(1)
Crystalline Rb2ZnHg12 at its relaxed geometry. Source: Alexandria via LeMat-Bulk, functional PBE.

Cell: 7.1116 7.1116 18.5295 Å, 90.00 90.00 90.00°
Fractional positions:
Rb 0.2500 0.7500 0.2458
Rb 0.2500 0.7500 0.7542
Rb 0.7500 0.2500 0.2458
Rb 0.7500 0.2500 0.7542
Zn 0.2500 0.7500 0.0000
Zn 0.7500 0.2500 0.0000
Hg 0.0000 0.0000 0.0828
Hg 0.0000 0.0000 0.9172
Hg 0.0000 0.5000 0.0828
Hg 0.0000 0.5000 0.9172
Hg 0.0915 0.5915 0.4331
Hg 0.0915 0.9085 0.5669
Hg 0.2500 0.2500 0.1813
Hg 0.2500 0.2500 0.3470
Hg 0.2500 0.2500 0.6530
Hg 0.2500 0.2500 0.8187
Hg 0.4085 0.5915 0.5669
Hg 0.4085 0.9085 0.4331
Hg 0.5000 0.0000 0.0828
Hg 0.5000 0.0000 0.9172
Hg 0.5000 0.5000 0.0828
Hg 0.5000 0.5000 0.9172
Hg 0.5915 0.0915 0.5669
Hg 0.5915 0.4085 0.4331
Hg 0.7500 0.7500 0.1813
Hg 0.7500 0.7500 0.3470
Hg 0.7500 0.7500 0.6530
Hg 0.7500 0.7500 0.8187
Hg 0.9085 0.0915 0.4331
Hg 0.9085 0.4085 0.5669

Formation energy from the elements, eV per atom: -0.105
D(E_F), states/eV/cell: 12.3
M_tot, Bohr magnetons per cell: 0.000
Raw total energy, eV per atom: -0.5599
Symmetry: No. 125

---

(2)
Crystalline Rb6ZnHg3 at its relaxed geometry. Source: Alexandria via LeMat-Bulk, functional PBE.

Cell: 10.5446 7.8988 14.8823 Å, 90.00 122.73 90.00°
Fractional positions:
Rb 0.0937 0.1489 0.2808
Rb 0.0937 0.3511 0.7808
Rb 0.2542 0.0625 0.6132
Rb 0.2542 0.4375 0.1132
Rb 0.3759 0.5891 0.5621
Rb 0.3759 0.9109 0.0621
Rb 0.6241 0.0891 0.9379
Rb 0.6241 0.4109 0.4379
Rb 0.7458 0.5625 0.8868
Rb 0.7458 0.9375 0.3868
Rb 0.9063 0.6489 0.2192
Rb 0.9063 0.8511 0.7192
Zn 0.5000 0.0000 0.5000
Zn 0.5000 0.5000 0.0000
Hg 0.0000 0.0000 0.0000
Hg 0.0000 0.5000 0.5000
Hg 0.3520 0.7089 0.8186
Hg 0.3520 0.7911 0.3186
Hg 0.6480 0.2089 0.6814
Hg 0.6480 0.2911 0.1814

Formation energy from the elements, eV per atom: -0.071
D(E_F), states/eV/cell: 12.9
M_tot, Bohr magnetons per cell: 0.000
Raw total energy, eV per atom: -0.8692
Symmetry: No. 14

---

(3)
Crystalline RbZn2Hg2 at its relaxed geometry. Source: Alexandria via LeMat-Bulk, functional PBE.

Cell: 6.5887 6.5887 6.5887 Å, 135.17 135.17 65.27°
Fractional positions:
Rb 0.0000 0.0000 0.0000
Zn 0.2500 0.7500 0.5000
Zn 0.7500 0.2500 0.5000
Hg 0.3623 0.3623 0.0000
Hg 0.6377 0.6377 0.0000

Formation energy from the elements, eV per atom: -0.050
Energy relative to the lowest polymorph listed for this composition, eV per atom: 0.000
D(E_F), states/eV/cell: 2.2
M_tot, Bohr magnetons per cell: 0.000
Raw total energy, eV per atom: -0.8743
Symmetry: No. 139

---

(4)
Crystalline RbZn2Hg2 at its relaxed geometry. Source: Alexandria via LeMat-Bulk, functional PBE.

Cell: 8.8668 8.8668 3.3905 Å, 90.00 90.00 90.00°
Fractional positions:
Rb 0.0000 0.0000 0.0000
Rb 0.5000 0.5000 0.0000
Zn 0.1466 0.3534 0.5000
Zn 0.3534 0.8534 0.5000
Zn 0.6466 0.1466 0.5000
Zn 0.8534 0.6466 0.5000
Hg 0.1397 0.6397 0.0000
Hg 0.3603 0.1397 0.0000
Hg 0.6397 0.8603 0.0000
Hg 0.8603 0.3603 0.0000

Formation energy from the elements, eV per atom: 0.077
Energy relative to the lowest polymorph listed for this composition, eV per atom: 0.127
D(E_F), states/eV/cell: 5.0
M_tot, Bohr magnetons per cell: 0.000
Raw total energy, eV per atom: -0.7471
Symmetry: No. 127

---

(5)
Crystalline RbZn2Hg2 at its relaxed geometry. Source: Alexandria via LeMat-Bulk, functional PBE.

Cell: 6.3574 6.3574 6.3574 Å, 132.45 132.45 69.52°
Fractional positions:
Rb 0.0000 0.0000 0.0000
Zn 0.3742 0.3742 0.0000
Zn 0.6258 0.6258 0.0000
Hg 0.2500 0.7500 0.5000
Hg 0.7500 0.2500 0.5000

Formation energy from the elements, eV per atom: -0.050
Energy relative to the lowest polymorph listed for this composition, eV per atom: 0.001
D(E_F), states/eV/cell: 2.3
M_tot, Bohr magnetons per cell: 0.000
Raw total energy, eV per atom: -0.8735
Symmetry: No. 139

---

(6)
Crystalline RbZnHg3 at its relaxed geometry. Source: Alexandria via LeMat-Bulk, functional PBE.

Cell: 7.0971 7.0971 7.0971 Å, 90.00 90.00 90.00°
Fractional positions:
Rb 0.0000 0.0000 0.0000
Zn 0.5000 0.5000 0.5000
Hg 0.0000 0.0000 0.5000
Hg 0.0000 0.5000 0.0000
Hg 0.5000 0.0000 0.0000

Formation energy from the elements, eV per atom: 0.298
Energy relative to the lowest polymorph listed for this composition, eV per atom: 0.419
D(E_F), states/eV/cell: 4.4
M_tot, Bohr magnetons per cell: 0.000
Raw total energy, eV per atom: -0.3310
Symmetry: No. 221

---

(7)
Crystalline Rb2ZnHg7 at its relaxed geometry. Source: Alexandria via LeMat-Bulk, functional PBE.

Cell: 5.2537 5.2537 11.7161 Å, 90.00 90.00 90.00°
Fractional positions:
Rb 0.0000 0.5000 0.2443
Rb 0.5000 0.0000 0.7557
Zn 0.5000 0.5000 0.0000
Hg 0.0000 0.0000 0.0000
Hg 0.0000 0.0000 0.5000
Hg 0.0000 0.5000 0.6388
Hg 0.0000 0.5000 0.8926
Hg 0.5000 0.0000 0.1074
Hg 0.5000 0.0000 0.3612
Hg 0.5000 0.5000 0.5000

Formation energy from the elements, eV per atom: -0.146
D(E_F), states/eV/cell: 4.0
M_tot, Bohr magnetons per cell: 0.000
Raw total energy, eV per atom: -0.6778
Symmetry: No. 115

---

(8)
Crystalline Rb3ZnHg at its relaxed geometry. Source: Alexandria via LeMat-Bulk, functional PBE.

Cell: 6.8499 6.8499 6.8499 Å, 90.00 90.00 90.00°
Fractional positions:
Rb 0.0000 0.0000 0.5000
Rb 0.0000 0.5000 0.0000
Rb 0.5000 0.0000 0.0000
Zn 0.0000 0.0000 0.0000
Hg 0.5000 0.5000 0.5000

Formation energy from the elements, eV per atom: 0.137
Energy relative to the lowest polymorph listed for this composition, eV per atom: 0.000
D(E_F), states/eV/cell: 4.8
M_tot, Bohr magnetons per cell: 0.000
Raw total energy, eV per atom: -0.7586
Symmetry: No. 221

---

(9)
Crystalline RbZn3Hg3 at its relaxed geometry. Source: Alexandria via LeMat-Bulk, functional PBE.

Cell: 7.5895 7.5895 7.5895 Å, 90.00 90.00 90.00°
Fractional positions:
Rb 0.0000 0.0000 0.0000
Rb 0.5000 0.5000 0.5000
Zn 0.0000 0.2500 0.5000
Zn 0.0000 0.7500 0.5000
Zn 0.2500 0.5000 0.0000
Zn 0.5000 0.0000 0.2500
Zn 0.5000 0.0000 0.7500
Zn 0.7500 0.5000 0.0000
Hg 0.0000 0.5000 0.2500
Hg 0.0000 0.5000 0.7500
Hg 0.2500 0.0000 0.5000
Hg 0.5000 0.2500 0.0000
Hg 0.5000 0.7500 0.0000
Hg 0.7500 0.0000 0.5000

Formation energy from the elements, eV per atom: 0.061
D(E_F), states/eV/cell: 8.4
M_tot, Bohr magnetons per cell: 0.000
Raw total energy, eV per atom: -0.7526
Symmetry: No. 223

---

(10)
Crystalline Rb4ZnHg4 at its relaxed geometry. Source: Alexandria via LeMat-Bulk, functional PBE.

Cell: 9.1688 9.1688 9.1688 Å, 132.07 132.07 70.12°
Fractional positions:
Rb 0.0755 0.6430 0.0000
Rb 0.3570 0.3570 0.4324
Rb 0.6430 0.0755 0.0000
Rb 0.9245 0.9245 0.5676
Zn 0.5000 0.5000 0.0000
Hg 0.1737 0.1737 0.5607
Hg 0.3870 0.8263 0.0000
Hg 0.6130 0.6130 0.4393
Hg 0.8263 0.3870 0.0000

Formation energy from the elements, eV per atom: -0.134
D(E_F), states/eV/cell: 6.5
M_tot, Bohr magnetons per cell: 0.000
Raw total energy, eV per atom: -0.8401
Symmetry: No. 121

---

(11)
Crystalline Rb8ZnHg2 at its relaxed geometry. Source: Alexandria via LeMat-Bulk, functional PBE.

Cell: 10.1073 10.1073 7.7302 Å, 100.20 100.20 111.70°
Fractional positions:
Rb 0.0000 0.0000 0.0000
Rb 0.0179 0.2809 0.5738
Rb 0.1339 0.5700 0.1817
Rb 0.2809 0.0179 0.5738
Rb 0.4291 0.6887 0.7811
Rb 0.5700 0.1339 0.1817
Rb 0.6887 0.4291 0.7811
Rb 0.7130 0.7130 0.3765
Zn 0.3504 0.3504 0.3634
Hg 0.0418 0.6756 0.6901
Hg 0.6756 0.0418 0.6901

Formation energy from the elements, eV per atom: -0.031
D(E_F), states/eV/cell: 8.1
M_tot, Bohr magnetons per cell: 0.000
Raw total energy, eV per atom: -0.9058
Symmetry: No. 8

---

(12)
Crystalline RbZnHg3 at its relaxed geometry. Source: Alexandria via LeMat-Bulk, functional PBE.

Cell: 5.4523 5.4523 5.4523 Å, 90.00 90.00 90.00°
Fractional positions:
Rb 0.0000 0.0000 0.0000
Zn 0.5000 0.5000 0.5000
Hg 0.0000 0.5000 0.5000
Hg 0.5000 0.0000 0.5000
Hg 0.5000 0.5000 0.0000

Formation energy from the elements, eV per atom: -0.120
Energy relative to the lowest polymorph listed for this composition, eV per atom: 0.000
D(E_F), states/eV/cell: 2.3
M_tot, Bohr magnetons per cell: 0.000
Raw total energy, eV per atom: -0.7498
Symmetry: No. 221

---

no.,theoretical density (g/cm³)
1,9.4
2,3.8
3,7.3
4,7.7
5,7.5
6,3.5
7,8.4
8,2.7
9,6.7
10,4.8
11,2.7
12,7.7